(1)
Below is crystalline SbOsPt at its relaxed geometry, with properties calculated at the PBE level.

Unit cell a=3.229 b=3.229 c=9.906 alpha=90.00 beta=90.00 gamma=90.00
Space group I4mm (No. 107)
Inequivalent atoms, fractional coordinates:
Sb1 0.000 0.000 0.000 (multiplicity 2)
Os1 0.000 0.000 0.351 (multiplicity 2)
Pt1 0.000 0.000 0.667 (multiplicity 2)

Computed properties:
D(E_F)	2.81	states/eV/f.u.
formation energy from raw total energies	0.49	eV/atom
polymorph energy (0 for the lowest one)	256.7	meV/atom



(2)
Below is crystalline PrGe2IrPt2 at its relaxed geometry, with properties calculated at the PBE level.

Unit cell a=3.984 b=3.984 c=19.131 alpha=90.00 beta=90.00 gamma=90.00
Space group I4/mmm (No. 139)
Inequivalent atoms, fractional coordinates:
Pr1 0.000 0.000 0.000 (multiplicity 2)
Ge1 0.000 0.000 0.168 (multiplicity 4)
Ir1 0.000 0.000 0.500 (multiplicity 2)
Pt1 0.000 0.500 0.250 (multiplicity 4)

Computed properties:
D(E_F)	5.20	states/eV/f.u.
energy relative to the elements	-0.053	eV/atom



(3)
Below is crystalline PaFe3As3 at its relaxed geometry, with properties calculated at the PBE level.

Unit cell a=8.0615 b=8.0615 c=4.1020 alpha=90.00 beta=90.00 gamma=120.00
Space group P6_3/m (No. 176)
Inequivalent atoms, fractional coordinates:
Pa1 0.3333 0.6667 0.2500 (multiplicity 2)
Fe1 0.0467 0.2022 0.2500 (multiplicity 6)
As1 0.0766 0.3939 0.7500 (multiplicity 6)

Computed properties:
D(E_F)	4.83	states/eV/f.u.
energy relative to the elements	-0.441	eV/atom
polymorph energy (0 for the lowest one)	0.0	meV/atom



(4)
Below is crystalline LaPm2NdSm4 at its relaxed geometry, with properties calculated at the PBE level.

Unit cell a=6.325 b=3.666 c=12.141 alpha=90.00 beta=100.31 gamma=90.00
Space group P2/m (No. 10)
Inequivalent atoms, fractional coordinates:
La1 0.000 0.000 0.000 (multiplicity 1)
Pm1 0.500 0.000 0.500 (multiplicity 1)
Pm2 0.500 0.500 0.000 (multiplicity 1)
Nd1 0.000 0.500 0.500 (multiplicity 1)
Sm1 0.250 0.000 0.749 (multiplicity 2)
Sm2 0.250 0.500 0.251 (multiplicity 2)

Computed properties:
D(E_F)	12.84	states/eV/f.u.
energy relative to the elements	0.016	eV/atom



(5)
Below is crystalline CsPIrO at its relaxed geometry, with properties calculated at the PBE level.

Unit cell a=3.7814 b=3.7814 c=7.4727 alpha=90.00 beta=90.00 gamma=120.00
Space group P3m1 (No. 156)
Inequivalent atoms, fractional coordinates:
Cs1 0.0000 0.0000 0.0000 (multiplicity 1)
P1 0.3333 0.6667 0.4229 (multiplicity 1)
Ir1 0.6667 0.3333 0.5185 (multiplicity 1)
O1 0.6667 0.3333 0.7705 (multiplicity 1)

Computed properties:
D(E_F)	1.23	states/eV/f.u.
formation energy from raw total energies	-0.65	eV/atom
polymorph energy (0 for the lowest one)	268.9	meV/atom



(6)
Below is crystalline ScHg at its relaxed geometry, with properties calculated at the PBE level.

Unit cell a=11.091 b=3.573 c=7.227 alpha=90.00 beta=110.26 gamma=90.00
Space group Cm (No. 8)
Inequivalent atoms, fractional coordinates:
Sc1 0.000 0.000 0.000 (multiplicity 2)
Sc2 0.021 0.000 0.539 (multiplicity 2)
Sc3 0.193 0.500 0.345 (multiplicity 2)
Hg1 0.177 0.500 0.885 (multiplicity 2)
Hg2 0.324 0.000 0.679 (multiplicity 2)
Hg3 0.376 0.000 0.212 (multiplicity 2)

Computed properties:
D(E_F)	2.40	states/eV/f.u.
energy relative to the elements	-0.270	eV/atom



(7)
Below is crystalline Sm8Ir2Os at its relaxed geometry, with properties calculated at the PBE level.

Unit cell a=8.423 b=12.748 c=6.212 alpha=90.00 beta=110.32 gamma=90.00
Space group Cm (No. 8)
Inequivalent atoms, fractional coordinates:
Sm1 0.000 0.000 0.000 (multiplicity 2)
Sm2 0.064 0.370 0.782 (multiplicity 4)
Sm3 0.147 0.129 0.574 (multiplicity 4)
Sm4 0.207 0.500 0.374 (multiplicity 2)
Sm5 0.350 0.209 0.189 (multiplicity 4)
Ir1 0.357 0.313 0.683 (multiplicity 4)
Os1 0.354 0.000 0.354 (multiplicity 2)

Computed properties:
D(E_F)	10.47	states/eV/f.u.
energy relative to the elements	-0.281	eV/atom



(8)
Below is crystalline Ac3ErS6 at its relaxed geometry, with properties calculated at the PBE level.

Unit cell a=7.128 b=7.666 c=12.539 alpha=90.00 beta=123.21 gamma=90.00
Space group P2_1/c (No. 14)
Inequivalent atoms, fractional coordinates:
Ac1 0.000 0.000 0.000 (multiplicity 2)
Ac2 0.286 0.082 0.752 (multiplicity 4)
Er1 0.500 0.000 0.500 (multiplicity 2)
S1 0.118 0.061 0.263 (multiplicity 4)
S2 0.274 0.684 0.075 (multiplicity 4)
S3 0.403 0.200 0.077 (multiplicity 4)

Computed properties:
D(E_F)	0.00	states/eV/f.u.
formation energy from raw total energies	-2.12	eV/atom
polymorph energy (0 for the lowest one)	34.8	meV/atom



(9)
Below is crystalline BaZrCd at its relaxed geometry, with properties calculated at the PBE level.

Unit cell a=3.599 b=3.599 c=14.342 alpha=90.00 beta=90.00 gamma=90.00
Space group I4mm (No. 107)
Inequivalent atoms, fractional coordinates:
Ba1 0.000 0.000 0.000 (multiplicity 2)
Zr1 0.000 0.000 0.699 (multiplicity 2)
Cd1 0.000 0.000 0.313 (multiplicity 2)

Computed properties:
D(E_F)	4.15	states/eV/f.u.
energy relative to the elements	0.214	eV/atom
polymorph energy (0 for the lowest one)	125.5	meV/atom



(10)
Below is crystalline BRhS at its relaxed geometry, with properties calculated at the PBE level.

Unit cell a=5.691 b=7.291 c=4.726 alpha=90.00 beta=90.00 gamma=90.00
Space group Pca2_1 (No. 29)
Inequivalent atoms, fractional coordinates:
B1 0.170 0.172 0.000 (multiplicity 4)
Rh1 0.134 0.969 0.694 (multiplicity 4)
S1 0.018 0.646 0.576 (multiplicity 4)

Computed properties:
D(E_F)	1.79	states/eV/f.u.
formation energy from raw total energies	0.06	eV/atom



(11)
Below is crystalline LiTb2Al3Au4 at its relaxed geometry, with properties calculated at the PBE level.

Unit cell a=4.366 b=4.366 c=10.452 alpha=90.00 beta=90.00 gamma=90.00
Space group P-4m2 (No. 115)
Inequivalent atoms, fractional coordinates:
Li1 0.000 0.000 0.000 (multiplicity 1)
Tb1 0.000 0.500 0.743 (multiplicity 2)
Al1 0.000 0.500 0.367 (multiplicity 2)
Al2 0.500 0.500 0.000 (multiplicity 1)
Au1 0.000 0.000 0.500 (multiplicity 1)
Au2 0.000 0.500 0.131 (multiplicity 2)
Au3 0.500 0.500 0.500 (multiplicity 1)

Computed properties:
D(E_F)	6.65	states/eV/f.u.
energy relative to the elements	-0.661	eV/atom



(12)
Below is crystalline RbCaSiAg2 at its relaxed geometry, with properties calculated at the PBE level.

Unit cell a=5.131 b=5.131 c=5.598 alpha=90.00 beta=90.00 gamma=90.00
Space group P4/mmm (No. 123)
Inequivalent atoms, fractional coordinates:
Rb1 0.000 0.000 0.000 (multiplicity 1)
Ca1 0.500 0.500 0.000 (multiplicity 1)
Si1 0.500 0.500 0.500 (multiplicity 1)
Ag1 0.000 0.500 0.500 (multiplicity 2)

Computed properties:
D(E_F)	3.47	states/eV/f.u.
formation energy from raw total energies	0.11	eV/atom



(13)
Below is crystalline TmPuAlO6 at its relaxed geometry, with properties calculated at the PBE level.

Unit cell a=5.4173 b=5.4173 c=8.6468 alpha=90.00 beta=90.00 gamma=120.00
Space group P-31c (No. 163)
Inequivalent atoms, fractional coordinates:
Tm1 0.3333 0.6667 0.2500 (multiplicity 2)
Pu1 0.3333 0.6667 0.7500 (multiplicity 2)
Al1 0.0000 0.0000 0.0000 (multiplicity 2)
O1 0.0221 0.3246 0.6225 (multiplicity 12)

Computed properties:
D(E_F)	5.63	states/eV/f.u.
formation energy from raw total energies	-2.70	eV/atom